--- i ---
A relaxed La2PrNi2 crystal. Source: Alexandria, functional GGA-PBE.

## Properties
Fermi-level density of states ... 1.34 states/eV/atom
V ... 132.1 Å³ per cell

Lattice parameters (Å, degrees): 6.141 6.141 5.956 106.22 106.22 37.98
Element x y z (fractional)
La  0.155  0.155  0.118
La  0.845  0.845  0.882
Pr  0.500  0.500  0.500
Ni  0.211  0.211  0.613
Ni  0.789  0.789  0.387

=====

--- ii ---
A relaxed La2PrNi2 crystal. Source: Alexandria, functional GGA-PBE.

## Properties
Fermi-level density of states ... 0.85 states/eV/atom
V ... 129.2 Å³ per cell

Lattice parameters (Å, degrees): 7.619 7.619 3.929 90.00 90.00 145.49
Element x y z (fractional)
La  0.151  0.849  0.000
La  0.849  0.151  0.000
Pr  0.500  0.500  0.500
Ni  0.298  0.702  0.500
Ni  0.702  0.298  0.500

=====

Stability summary: most stable ii, least stable i.

=====

--- i ---
A relaxed LaPrNiRh crystal. Source: Alexandria, functional GGA-PBE.

## Properties
Fermi-level density of states ... 0.63 states/eV/atom
V ... 93.4 Å³ per cell

Lattice parameters (Å, degrees): 4.193 5.936 5.936 39.18 90.00 90.00
Element x y z (fractional)
La  0.000  0.000  0.000
Pr  0.500  0.726  0.726
Ni  0.000  0.285  0.285
Rh  0.500  0.446  0.446

=====

--- ii ---
A relaxed LaPrNiRh crystal. Source: Alexandria, functional GGA-PBE.

## Properties
Fermi-level density of states ... 0.54 states/eV/atom
V ... 90.4 Å³ per cell

Lattice parameters (Å, degrees): 5.037 5.037 5.037 60.00 60.00 60.00
Element x y z (fractional)
La  0.000  0.000  0.000
Pr  0.500  0.500  0.500
Ni  0.750  0.750  0.750
Rh  0.250  0.250  0.250

=====

Stability summary: most stable i, least stable ii.